Record 1
# KGaSN2 (GGA-PBEsol, optimized geometry)
data_KGaSN2
_chemical_formula_sum 'K1 Ga1 S1 N2'
_cell_length_a 4.145
_cell_length_b 4.145
_cell_length_c 4.845
_cell_angle_alpha 90.00
_cell_angle_beta 90.00
_cell_angle_gamma 90.00
_space_group_name_H-M_alt 'P 4/m m m'
_space_group_IT_number 123
_space_group_name_Hall '-P 4 2'
loop_
_atom_site_label
_atom_site_type_symbol
_atom_site_fract_x
_atom_site_fract_y
_atom_site_fract_z
K1 K 0.000 0.000 0.000
Ga1 Ga 0.500 0.500 0.500
S1 S 0.500 0.500 0.000
N1 N 0.000 0.500 0.500
# * magnetization: 4.00 μB/cell
# * DOS(E_F): 0.40 states/eV/atom
# * DFT total energy: -4.393 eV/atom
# * calculated volume: 16.65 A^3/atom
# * uncorrected formation energy: 3.95 eV/f.u.



Record 2
# KNa3Ga (GGA-PBEsol, optimized geometry)
data_KNa3Ga
_chemical_formula_sum 'K1 Na3 Ga1'
_cell_length_a 5.801
_cell_length_b 5.801
_cell_length_c 5.801
_cell_angle_alpha 90.00
_cell_angle_beta 90.00
_cell_angle_gamma 90.00
_space_group_name_H-M_alt 'P m -3 m'
_space_group_IT_number 221
_space_group_name_Hall '-P 4 2 3'
loop_
_atom_site_label
_atom_site_type_symbol
_atom_site_fract_x
_atom_site_fract_y
_atom_site_fract_z
K1 K 0.000 0.000 0.000
Na1 Na 0.000 0.500 0.500
Ga1 Ga 0.500 0.500 0.500
# * magnetization: 0.00 μB/cell
# * DOS(E_F): 0.60 states/eV/atom
# * DFT total energy: -1.641 eV/atom
# * calculated volume: 39.05 A^3/atom



Record 3
# KNa2Ga3Si3O12 (GGA-PBEsol, optimized geometry)
data_KNa2Ga3Si3O12
_chemical_formula_sum 'K4 Na8 Ga12 Si12 O48'
_cell_length_a 8.772
_cell_length_b 8.291
_cell_length_c 17.670
_cell_angle_alpha 90.00
_cell_angle_beta 119.71
_cell_angle_gamma 90.00
_space_group_name_H-M_alt 'P 1 21/c 1'
_space_group_IT_number 14
_space_group_name_Hall '-P 2ybc'
loop_
_atom_site_label
_atom_site_type_symbol
_atom_site_fract_x
_atom_site_fract_y
_atom_site_fract_z
K1 K 0.001 0.005 0.251
Na1 Na 0.291 0.531 0.063
Na2 Na 0.359 0.533 0.591
Ga1 Ga 0.032 0.214 0.923
Ga2 Ga 0.315 0.215 0.734
Ga3 Ga 0.345 0.717 0.907
Si1 Si 0.025 0.671 0.423
Si2 Si 0.316 0.671 0.234
Si3 Si 0.351 0.170 0.410
O1 O 0.072 0.731 0.013
O2 O 0.110 0.732 0.872
O3 O 0.118 0.008 0.949
O4 O 0.131 0.730 0.694
O5 O 0.188 0.150 0.142
O6 O 0.220 0.154 0.451
O7 O 0.247 0.232 0.817
O8 O 0.269 0.010 0.690
O9 O 0.401 0.511 0.891
O10 O 0.403 0.654 0.340
O11 O 0.447 0.742 0.705
O12 O 0.465 0.735 0.524
# * magnetization: 0.01 μB/cell
# * DOS(E_F): 0.00 states/eV/atom
# * DFT total energy: -6.836 eV/atom
# * calculated volume: 13.29 A^3/atom
# * uncorrected formation energy: -49.38 eV/f.u.



Record 4
# KGaP4O12 (GGA-PBEsol, optimized geometry)
data_KGaP4O12
_chemical_formula_sum 'K4 Ga4 P16 O48'
_cell_length_a 16.846
_cell_length_b 12.279
_cell_length_c 5.154
_cell_angle_alpha 90.00
_cell_angle_beta 100.83
_cell_angle_gamma 90.00
_space_group_name_H-M_alt 'C 1 2/m 1'
_space_group_IT_number 12
_space_group_name_Hall '-C 2y'
loop_
_atom_site_label
_atom_site_type_symbol
_atom_site_fract_x
_atom_site_fract_y
_atom_site_fract_z
K1 K 0.091 0.000 0.238
Ga1 Ga 0.250 0.250 0.500
P1 P 0.077 0.221 0.665
P2 P 0.189 0.379 0.969
O1 O 0.000 0.285 0.500
O2 O 0.052 0.122 0.789
O3 O 0.107 0.314 0.883
O4 O 0.138 0.210 0.486
O5 O 0.158 0.500 0.893
O6 O 0.215 0.374 0.264
O7 O 0.249 0.152 0.194
# * magnetization: 0.00 μB/cell
# * DOS(E_F): 0.00 states/eV/atom
# * DFT total energy: -7.212 eV/atom
# * calculated volume: 14.54 A^3/atom
# * uncorrected formation energy: -39.18 eV/f.u.



Record 5
# KGa2PbO (GGA-PBEsol, optimized geometry)
data_KGa2PbO
_chemical_formula_sum 'K1 Ga2 Pb1 O1'
_cell_length_a 5.538
_cell_length_b 5.538
_cell_length_c 6.123
_cell_angle_alpha 90.00
_cell_angle_beta 90.00
_cell_angle_gamma 90.00
_space_group_name_H-M_alt 'P 4/m m m'
_space_group_IT_number 123
_space_group_name_Hall '-P 4 2'
loop_
_atom_site_label
_atom_site_type_symbol
_atom_site_fract_x
_atom_site_fract_y
_atom_site_fract_z
K1 K 0.000 0.000 0.000
Ga1 Ga 0.000 0.500 0.000
Pb1 Pb 0.000 0.000 0.500
O1 O 0.500 0.500 0.500
# * magnetization: 0.74 μB/cell
# * DOS(E_F): 0.94 states/eV/atom
# * DFT total energy: -1.888 eV/atom
# * calculated volume: 37.56 A^3/atom
# * uncorrected formation energy: 7.62 eV/f.u.



Record 6
# KGa3Os (GGA-PBEsol, optimized geometry)
data_KGa3Os
_chemical_formula_sum 'K1 Ga3 Os1'
_cell_length_a 4.824
_cell_length_b 4.824
_cell_length_c 4.824
_cell_angle_alpha 90.00
_cell_angle_beta 90.00
_cell_angle_gamma 90.00
_space_group_name_H-M_alt 'P m -3 m'
_space_group_IT_number 221
_space_group_name_Hall '-P 4 2 3'
loop_
_atom_site_label
_atom_site_type_symbol
_atom_site_fract_x
_atom_site_fract_y
_atom_site_fract_z
K1 K 0.000 0.000 0.000
Ga1 Ga 0.000 0.500 0.500
Os1 Os 0.500 0.500 0.500
# * magnetization: 0.00 μB/cell
# * DOS(E_F): 0.06 states/eV/atom
# * DFT total energy: -4.884 eV/atom
# * calculated volume: 22.45 A^3/atom



Record 7
# KGa2ReOs (GGA-PBEsol, optimized geometry)
data_KGa2ReOs
_chemical_formula_sum 'K1 Ga2 Re1 Os1'
_cell_length_a 4.917
_cell_length_b 4.917
_cell_length_c 4.726
_cell_angle_alpha 90.00
_cell_angle_beta 90.00
_cell_angle_gamma 90.00
_space_group_name_H-M_alt 'P 4/m m m'
_space_group_IT_number 123
_space_group_name_Hall '-P 4 2'
loop_
_atom_site_label
_atom_site_type_symbol
_atom_site_fract_x
_atom_site_fract_y
_atom_site_fract_z
K1 K 0.000 0.000 0.000
Ga1 Ga 0.000 0.500 0.500
Re1 Re 0.500 0.500 0.500
Os1 Os 0.500 0.500 0.000
# * magnetization: 0.96 μB/cell
# * DOS(E_F): 0.92 states/eV/atom
# * DFT total energy: -5.902 eV/atom
# * calculated volume: 22.86 A^3/atom



Record 8
# KGa2P2 (GGA-PBEsol, optimized geometry)
data_KGa2P2
_chemical_formula_sum 'K2 Ga4 P4'
_cell_length_a 4.204
_cell_length_b 4.204
_cell_length_c 13.144
_cell_angle_alpha 90.00
_cell_angle_beta 90.00
_cell_angle_gamma 90.00
_space_group_name_H-M_alt 'I 4/m m m'
_space_group_IT_number 139
_space_group_name_Hall '-I 4 2'
loop_
_atom_site_label
_atom_site_type_symbol
_atom_site_fract_x
_atom_site_fract_y
_atom_site_fract_z
K1 K 0.000 0.000 0.000
Ga1 Ga 0.000 0.500 0.250
P1 P 0.000 0.000 0.349
# * magnetization: 0.00 μB/cell
# * DOS(E_F): 0.13 states/eV/atom
# * DFT total energy: -4.190 eV/atom
# * calculated volume: 23.23 A^3/atom



Q: What is the formula in the fifth record?
A: KGa2PbO